PBE-GGA TcP3O, relaxed; total energy = -27.4 eV for the cell shown
1.0
-4.406 0.054 -1.032
-1.028 -0.685 4.354
-0.105 4.473 0.679
P Tc O
3 1 1
Direct
0.000 0.500 0.000 P
0.000 0.000 0.500 P
0.500 0.000 0.000 P
0.000 0.000 0.000 Tc
0.500 0.500 0.500 O

***

PBE-GGA Tc2PO, relaxed; total energy = -31.9 eV for the cell shown
1.0
4.003 -0.450 0.438
1.885 1.633 3.194
1.462 -2.388 2.929
P Tc O
1 2 1
Direct
0.500 0.500 0.500 P
0.250 0.250 0.250 Tc
0.750 0.750 0.750 Tc
0.000 0.000 0.000 O

***

PBE-GGA TcPO5, relaxed; total energy = -101.3 eV for the cell shown
1.0
4.915 -0.128 -0.021
1.438 4.701 -0.021
2.252 1.621 5.937
Tc P O
2 2 10
Direct
0.500 0.500 0.250 Tc
0.500 0.500 0.750 Tc
0.000 0.000 0.000 P
0.000 0.000 0.500 P
0.754 0.753 0.123 O
0.287 0.713 0.500 O
0.753 0.754 0.623 O
0.000 0.000 0.250 O
0.287 0.713 0.000 O
0.713 0.287 0.000 O
0.000 0.000 0.750 O
0.247 0.246 0.377 O
0.713 0.287 0.500 O
0.246 0.247 0.877 O

***

PBE-GGA TcP3O, relaxed; total energy = -28.9 eV for the cell shown
1.0
-1.083 -2.367 3.071
3.877 -0.619 0.890
-0.051 3.197 2.446
P Tc O
3 1 1
Direct
0.000 0.500 0.000 P
0.000 0.000 0.500 P
0.500 0.000 0.000 P
0.500 0.500 0.500 Tc
0.000 0.000 0.000 O

***

PBE-GGA TcPO3, relaxed; total energy = -32.1 eV for the cell shown
1.0
-3.570 -0.907 -0.405
0.560 -0.587 -3.616
0.821 -3.545 0.703
P Tc O
1 1 3
Direct
0.000 0.000 0.000 P
0.500 0.500 0.500 Tc
0.000 0.500 0.000 O
0.000 0.000 0.500 O
0.500 0.000 0.000 O

***

PBE-GGA TcPO5, relaxed; total energy = -105.2 eV for the cell shown
1.0
5.121 0.106 -1.489
-1.423 4.921 -1.489
-0.065 -0.088 7.219
Tc P O
2 2 10
Direct
0.000 0.000 0.000 Tc
0.000 0.000 0.500 Tc
0.665 0.335 0.750 P
0.335 0.665 0.250 P
0.739 0.634 0.892 O
0.261 0.366 0.108 O
0.366 0.261 0.608 O
0.634 0.739 0.392 O
0.060 0.940 0.750 O
0.940 0.060 0.250 O
0.697 0.154 0.885 O
0.303 0.846 0.115 O
0.846 0.303 0.615 O
0.154 0.697 0.385 O

***

PBE-GGA TcP2O8, relaxed; total energy = -77.9 eV for the cell shown
1.0
-1.953 1.832 3.860
3.482 -3.588 4.137
5.624 1.917 2.608
Tc P O
1 2 8
Direct
0.000 0.000 0.000 Tc
0.363 0.166 0.166 P
0.637 0.834 0.834 P
0.781 0.099 0.710 O
0.219 0.290 0.901 O
0.691 0.122 0.122 O
0.309 0.878 0.878 O
0.781 0.710 0.099 O
0.219 0.901 0.290 O
0.309 0.294 0.294 O
0.691 0.706 0.706 O

***

PBE-GGA Tc2PO, relaxed; total energy = -63.9 eV for the cell shown
1.0
5.143 0.000 0.000
0.000 5.143 0.000
2.571 2.571 4.527
P Tc O
2 4 2
Direct
0.000 0.000 0.000 P
0.750 0.250 0.500 P
0.581 0.125 0.250 Tc
0.169 0.625 0.250 Tc
0.375 0.419 0.750 Tc
0.875 0.831 0.750 Tc
0.500 0.500 0.000 O
0.250 0.750 0.500 O

***

PBE-GGA TcPO3, relaxed; total energy = -32.2 eV for the cell shown
1.0
-1.320 -2.610 2.542
3.504 -0.171 1.645
-0.996 2.859 2.419
P Tc O
1 1 3
Direct
0.500 0.500 0.500 P
0.000 0.000 0.000 Tc
0.000 0.500 0.000 O
0.000 0.000 0.500 O
0.500 0.000 0.000 O

***

PBE-GGA TcPO, relaxed; total energy = -45.0 eV for the cell shown
1.0
3.005 -0.018 0.003
0.030 5.004 -0.557
-0.003 0.652 5.773
Tc P O
2 2 2
Direct
0.500 0.500 0.237 Tc
0.500 0.500 0.763 Tc
0.000 0.224 0.000 P
0.000 0.776 0.000 P
0.500 0.264 0.500 O
0.500 0.736 0.500 O

***

PBE-GGA TcP2O, relaxed; total energy = -52.1 eV for the cell shown
1.0
-0.927 1.887 4.612
-4.801 -1.595 -0.312
-1.576 -4.122 4.156
P Tc O
4 2 2
Direct
0.600 0.125 0.250 P
0.150 0.625 0.250 P
0.375 0.400 0.750 P
0.875 0.850 0.750 P
0.000 0.000 0.000 Tc
0.750 0.250 0.500 Tc
0.500 0.500 0.000 O
0.250 0.750 0.500 O

***

PBE-GGA TcTeP2O, relaxed; total energy = -24.4 eV for the cell shown
1.0
5.053 0.000 0.000
0.000 5.053 0.000
0.000 0.000 3.885
P Te Tc O
2 1 1 1
Direct
0.000 0.500 0.000 P
0.500 0.000 0.000 P
0.000 0.000 0.000 Te
0.500 0.500 0.500 Tc
0.000 0.000 0.500 O

***

PBE-GGA TcTeP2O, relaxed; total energy = -29.9 eV for the cell shown
1.0
4.847 0.000 0.000
0.000 4.847 0.000
0.000 0.000 3.742
P Te Tc O
2 1 1 1
Direct
0.000 0.500 0.000 P
0.500 0.000 0.000 P
0.500 0.500 0.500 Te
0.000 0.000 0.000 Tc
0.000 0.000 0.500 O

***

PBE-GGA TiTcP2O, relaxed; total energy = -34.7 eV for the cell shown
1.0
4.767 0.000 0.000
0.000 4.767 0.000
0.000 0.000 3.642
P Tc O Ti
2 1 1 1
Direct
0.000 0.500 0.000 P
0.500 0.000 0.000 P
0.000 0.000 0.000 Tc
0.000 0.000 0.500 O
0.500 0.500 0.500 Ti

***

PBE-GGA TiTcP2O, relaxed; total energy = -34.6 eV for the cell shown
1.0
4.832 0.000 0.000
0.000 4.832 0.000
0.000 0.000 3.613
P Tc O Ti
2 1 1 1
Direct
0.000 0.500 0.000 P
0.500 0.000 0.000 P
0.500 0.500 0.500 Tc
0.000 0.000 0.500 O
0.000 0.000 0.000 Ti

***

PBE-GGA TlTcPO2, relaxed; total energy = -23.6 eV for the cell shown
1.0
-1.074 2.716 -2.752
-3.766 -0.089 1.382
1.270 4.288 3.736
P Tl Tc O
1 1 1 2
Direct
0.000 0.000 0.500 P
0.000 0.000 0.000 Tl
0.500 0.500 0.500 Tc
0.000 0.500 0.000 O
0.500 0.000 0.000 O

***

PBE-GGA TlTcPO2, relaxed; total energy = -31.3 eV for the cell shown
1.0
-1.121 -2.492 2.729
2.849 -2.399 -1.021
3.169 2.312 3.413
P Tl Tc O
1 1 1 2
Direct
0.000 0.000 0.500 P
0.500 0.500 0.500 Tl
0.000 0.000 0.000 Tc
0.000 0.500 0.000 O
0.500 0.000 0.000 O